Entry 1:
This record from Alexandria describes BaNd2Tl2 after structural relaxation. The functional is GGA-PBE.

```
BaNd2Tl2
1.0
7.5693 0.0000 0.0000
0.0000 5.4072 0.0000
-3.7816 0.0000 8.6047
Ba Nd Tl
2 4 4
Direct
0.0953 0.2500 0.1883
0.9047 0.7500 0.8117
0.2690 0.7500 0.5375
0.4532 0.7500 0.9111
0.5468 0.2500 0.0889
0.7310 0.2500 0.4625
0.1648 0.2500 0.7367
0.4299 0.7500 0.2645
0.5701 0.2500 0.7355
0.8352 0.7500 0.2633
```

Results
Total DFT energy (no corrections)   -3.471 eV/atom
Spin magnetization   0.00 μB/atom
Density of states at the Fermi level   0.58 states/eV/atom



Entry 2:
This record from Alexandria describes La5CeNd2Tm after structural relaxation. The functional is GGA-PBE.

```
La5CeNd2Tm
1.0
-4.3630 4.3630 8.2652
4.3630 -4.3630 8.2652
4.3630 4.3630 -8.2652
La Ce Nd Tm
10 2 4 2
Direct
0.0000 0.0000 0.0000
0.0368 0.5368 0.8713
0.1655 0.0368 0.5000
0.3345 0.8345 0.8713
0.4632 0.3345 0.5000
0.5000 0.5000 0.0000
0.5368 0.6655 0.5000
0.6655 0.1655 0.1287
0.8345 0.9632 0.5000
0.9632 0.4632 0.1287
0.2500 0.7500 0.5000
0.7500 0.2500 0.5000
0.1282 0.3718 0.5000
0.3718 0.8718 0.2436
0.6282 0.1282 0.7564
0.8718 0.6282 0.5000
0.2500 0.2500 0.0000
0.7500 0.7500 0.0000
```

Results
Total DFT energy (no corrections)   -4.742 eV/atom
Spin magnetization   0.00 μB/atom
Density of states at the Fermi level   1.71 states/eV/atom



Entry 3:
This record from Alexandria describes Tb3ErAl2 after structural relaxation. The functional is GGA-PBE.

```
Tb3ErAl2
1.0
4.8241 0.0000 0.0000
0.0000 14.8601 0.0000
0.0000 0.0000 4.3764
Tb Er Al
6 2 4
Direct
0.0000 0.0000 0.0000
0.0000 0.3254 0.0000
0.0000 0.6746 0.0000
0.5000 0.1746 0.0000
0.5000 0.5000 0.0000
0.5000 0.8254 0.0000
0.0000 0.5000 0.5000
0.5000 0.0000 0.5000
0.0000 0.1557 0.5000
0.0000 0.8443 0.5000
0.5000 0.3443 0.5000
0.5000 0.6557 0.5000
```

Results
Spin magnetization   0.00 μB/atom
ΔE to the lowest computed polymorph   88 meV/atom
Density of states at the Fermi level   0.97 states/eV/atom



Entry 4:
This record from Alexandria describes ScReAu2 after structural relaxation. The functional is GGA-PBE.

```
ScReAu2
1.0
2.9415 0.0000 0.0000
0.0000 4.1504 0.0000
0.0000 0.0000 5.6903
Sc Re Au
1 1 2
Direct
0.0000 0.0000 0.0000
0.0000 0.0000 0.5000
0.5000 0.5000 0.2584
0.5000 0.5000 0.7416
```

Results
Spin magnetization   0.00 μB/atom
ΔE to the lowest computed polymorph   55 meV/atom
Density of states at the Fermi level   0.92 states/eV/atom